(1)
Material: VCrRu
Method: DFT, GGA-PBE
State: optimized geometry Values from VASP.

Values from the calculation:
Energy relative to the elements ... -39 meV per atom
Space group ... P3m1, No. 156
Total moment ... 0.0 μB/cell
ΔE to the lowest computed polymorph ... 0.1077 eV/atom

The structure in Quantum ESPRESSO input format:
```
&SYSTEM
  ibrav = 0, nat = 3, ntyp = 3
/
ATOMIC_SPECIES
Cr 52.00 Cr.upf
V 50.94 V.upf
Ru 101.07 Ru.upf
ATOMIC_POSITIONS crystal
Cr 0.0271 0.0000 0.0000
V 0.3168 0.6667 0.3333
Ru 0.6561 0.3333 0.6667
CELL_PARAMETERS angstrom
-0.0315 0.0002 2.6594
3.4028 -2.3224 0.0405
0.3097 4.1083 0.0033
```

=====

(2)
Material: VCrRu
Method: DFT, GGA-PBE
State: optimized geometry Values from VASP.

Values from the calculation:
Energy relative to the elements ... -131 meV per atom
Space group ... P3m1, No. 156
Total moment ... 1.5 μB/cell
ΔE to the lowest computed polymorph ... 0.0158 eV/atom

The structure in Quantum ESPRESSO input format:
```
&SYSTEM
  ibrav = 0, nat = 6, ntyp = 3
/
ATOMIC_SPECIES
V 50.94 V.upf
Cr 52.00 Cr.upf
Ru 101.07 Ru.upf
ATOMIC_POSITIONS crystal
V 0.6667 0.3333 0.0485
V 0.0000 0.0000 0.4029
Cr 0.3333 0.6667 0.7044
Cr 0.6667 0.3333 0.5576
Ru 0.3333 0.6667 0.2197
Ru 0.0000 0.0000 0.8984
CELL_PARAMETERS angstrom
4.1823 0.0000 0.0000
-2.0911 3.6219 0.0000
0.0000 0.0000 5.2044
```

=====

(3)
Material: VCrRu
Method: DFT, GGA-PBE
State: optimized geometry Values from VASP.

Values from the calculation:
Energy relative to the elements ... -146 meV per atom
Space group ... Amm2, No. 38
Total moment ... 3.0 μB/cell
ΔE to the lowest computed polymorph ... 0.0000 eV/atom

The structure in Quantum ESPRESSO input format:
```
&SYSTEM
  ibrav = 0, nat = 12, ntyp = 3
/
ATOMIC_SPECIES
Ru 101.07 Ru.upf
V 50.94 V.upf
Cr 52.00 Cr.upf
ATOMIC_POSITIONS crystal
Ru 0.0000 0.0000 0.8779
V 0.5000 0.0000 0.0494
Ru 0.0000 0.5000 0.3779
Cr 0.0000 0.5000 0.0492
V 0.5000 0.5000 0.5494
Ru 0.0000 0.0000 0.2166
V 0.5000 0.5000 0.2112
V 0.5000 0.0000 0.7112
Cr 0.5000 0.5000 0.8980
Ru 0.0000 0.5000 0.7166
Cr 0.0000 0.0000 0.5492
Cr 0.5000 0.0000 0.3980
CELL_PARAMETERS angstrom
2.9501 0.0000 0.0000
0.0000 4.2125 0.0000
0.0000 0.0000 12.6297
```

=====

(4)
Material: V4Cr2Ru
Method: DFT, GGA-PBE
State: optimized geometry Values from VASP.

Values from the calculation:
Energy relative to the elements ... 1095 meV per atom
Space group ... I4/mmm, No. 139
Total moment ... 1.1 μB/cell
ΔE to the lowest computed polymorph ... 1.0866 eV/atom

The structure in Quantum ESPRESSO input format:
```
&SYSTEM
  ibrav = 0, nat = 7, ntyp = 3
/
ATOMIC_SPECIES
V 50.94 V.upf
Ru 101.07 Ru.upf
Cr 52.00 Cr.upf
ATOMIC_POSITIONS crystal
V 0.5000 0.0000 0.0000
V 0.8000 0.8000 0.3999
V 0.2000 0.2000 0.6001
Ru 0.0000 0.0000 0.0000
Cr 0.3806 0.3806 0.2387
Cr 0.6194 0.6194 0.7613
V 0.0000 0.5000 0.0000
CELL_PARAMETERS angstrom
4.4828 0.0000 0.0000
0.0000 4.4828 0.0000
2.2414 2.2414 6.0334
```

=====

(5)
Material: VCr2Ru2
Method: DFT, GGA-PBE
State: optimized geometry Values from VASP.

Values from the calculation:
Energy relative to the elements ... 216 meV per atom
Space group ... P4/mbm, No. 127
Total moment ... 0.0 μB/cell
ΔE to the lowest computed polymorph ... 0.0370 eV/atom

The structure in Quantum ESPRESSO input format:
```
&SYSTEM
  ibrav = 0, nat = 10, ntyp = 3
/
ATOMIC_SPECIES
V 50.94 V.upf
Ru 101.07 Ru.upf
Cr 52.00 Cr.upf
ATOMIC_POSITIONS crystal
V 0.5000 0.5000 0.0000
Ru 0.3644 0.8644 0.0000
V 0.0000 0.0000 0.0000
Ru 0.8644 0.6356 0.0000
Ru 0.6356 0.1356 0.0000
Cr 0.6647 0.8353 0.5000
Ru 0.1356 0.3644 0.0000
Cr 0.3353 0.1647 0.5000
Cr 0.1647 0.6647 0.5000
Cr 0.8353 0.3353 0.5000
CELL_PARAMETERS angstrom
7.0887 0.0000 0.0000
0.0000 7.0887 0.0000
0.0000 0.0000 2.7148
```

=====

(6)
Material: VCrRu
Method: DFT, GGA-PBE
State: optimized geometry Values from VASP.

Values from the calculation:
Energy relative to the elements ... -83 meV per atom
Space group ... Amm2, No. 38
Total moment ... 0.0 μB/cell
ΔE to the lowest computed polymorph ... 0.0637 eV/atom

The structure in Quantum ESPRESSO input format:
```
&SYSTEM
  ibrav = 0, nat = 12, ntyp = 3
/
ATOMIC_SPECIES
Cr 52.00 Cr.upf
Ru 101.07 Ru.upf
V 50.94 V.upf
ATOMIC_POSITIONS crystal
Cr 0.0000 0.5000 0.0536
Ru 0.5000 0.5000 0.2242
Cr 0.0000 0.0000 0.5536
V 0.0000 0.5000 0.7158
Cr 0.0000 0.5000 0.3862
V 0.5000 0.5000 0.8849
Ru 0.5000 0.5000 0.5410
V 0.0000 0.0000 0.2158
Cr 0.0000 0.0000 0.8862
V 0.5000 0.0000 0.3849
Ru 0.5000 0.0000 0.7242
Ru 0.5000 0.0000 0.0410
CELL_PARAMETERS angstrom
4.1858 0.0000 0.0000
0.0000 2.9579 0.0000
0.0000 0.0000 12.6544
```

=====

(7)
Material: V6Cr5Ru
Method: DFT, GGA-PBE
State: optimized geometry Values from VASP.

Values from the calculation:
Energy relative to the elements ... -168 meV per atom
Space group ... C2/m, No. 12
Total moment ... 0.0 μB/cell

The structure in Quantum ESPRESSO input format:
```
&SYSTEM
  ibrav = 0, nat = 12, ntyp = 3
/
ATOMIC_SPECIES
Cr 52.00 Cr.upf
V 50.94 V.upf
Ru 101.07 Ru.upf
ATOMIC_POSITIONS crystal
Cr 0.3327 0.8327 0.6653
Cr 0.6673 0.1673 0.3347
V 0.5000 0.7436 0.0000
Cr 0.3335 0.3334 0.6669
Cr 0.6665 0.6666 0.3331
Ru 0.0000 0.0000 0.0000
V 0.8315 0.5789 0.6629
V 0.1685 0.9160 0.3371
V 0.1685 0.4211 0.3371
V 0.8315 0.0840 0.6629
Cr 0.0000 0.5000 0.0000
V 0.5000 0.2564 0.0000
CELL_PARAMETERS angstrom
-3.5114 1.1873 1.8292
-0.9406 -5.5106 1.7711
5.3490 3.3214 3.4677
```

=====

(8)
Material: V5CrRu2
Method: DFT, GGA-PBE
State: optimized geometry Values from VASP.

Values from the calculation:
Energy relative to the elements ... -278 meV per atom
Space group ... I4/mmm, No. 139
Total moment ... 0.0 μB/cell

The structure in Quantum ESPRESSO input format:
```
&SYSTEM
  ibrav = 0, nat = 8, ntyp = 3
/
ATOMIC_SPECIES
V 50.94 V.upf
Cr 52.00 Cr.upf
Ru 101.07 Ru.upf
ATOMIC_POSITIONS crystal
V 0.1204 0.6204 0.2408
Cr 0.0000 0.0000 0.0000
V 0.8796 0.3796 0.7592
V 0.5000 0.5000 0.0000
Ru 0.7503 0.7503 0.5005
V 0.6204 0.1204 0.2408
Ru 0.2497 0.2497 0.4995
V 0.3796 0.8796 0.7592
CELL_PARAMETERS angstrom
-1.1584 -1.7616 3.6292
2.0476 -3.5100 -1.0502
4.5119 4.7473 1.3175
```

=====

Q: Among the records above, which one has the highest total moment?
A: number 3